# YSbRu2 (GGA-PBEsol, optimized geometry)
# - ΔE_f (raw): -0.18 eV per atom
data_YSbRu2
_chemical_formula_sum 'Y2 Sb2 Ru4'
_space_group_name_H-M_alt 'I -4 m 2'
_space_group_IT_number 119
_space_group_name_Hall 'I -4 -2'
_cell_length_a 3.906
_cell_length_b 3.906
_cell_length_c 9.170
_cell_angle_alpha 90.00
_cell_angle_beta 90.00
_cell_angle_gamma 90.00
loop_
_atom_site_label
_atom_site_type_symbol
_atom_site_fract_x
_atom_site_fract_y
_atom_site_fract_z
Y1 Y 0.000 0.000 0.000
Sb1 Sb 0.000 0.500 0.750
Ru1 Ru 0.000 0.000 0.500
Ru2 Ru 0.000 0.500 0.250

# ReOs2Se (GGA-PBEsol, optimized geometry)
# - ΔE_f (raw): 0.51 eV per atom
data_ReOs2Se
_chemical_formula_sum 'Re1 Os2 Se1'
_space_group_name_H-M_alt 'P 1 2/m 1'
_space_group_IT_number 10
_space_group_name_Hall '-P 2y'
_cell_length_a 2.837
_cell_length_b 4.035
_cell_length_c 5.246
_cell_angle_alpha 90.00
_cell_angle_beta 104.68
_cell_angle_gamma 90.00
loop_
_atom_site_label
_atom_site_type_symbol
_atom_site_fract_x
_atom_site_fract_y
_atom_site_fract_z
Re1 Re 0.000 0.000 0.000
Os1 Os 0.373 0.500 0.745
Se1 Se 0.000 0.000 0.500

Entry from Alexandria via LeMat-Bulk: a relaxed CaLa2Mg crystal (GGA-PBEsol).

Cell and atoms, written as CIF:
```
data_CaLa2Mg
_chemical_formula_sum 'Ca1 La2 Mg1'
_space_group_name_H-M_alt 'P m m 2'
_space_group_IT_number 25
_space_group_name_Hall 'P 2 -2'
_cell_length_a 3.580
_cell_length_b 4.887
_cell_length_c 7.371
_cell_angle_alpha 90.00
_cell_angle_beta 90.00
_cell_angle_gamma 90.00
loop_
_atom_site_label
_atom_site_type_symbol
_atom_site_fract_x
_atom_site_fract_y
_atom_site_fract_z
Ca1 Ca 0.000 0.000 0.000
La1 La 0.000 0.000 0.505
La2 La 0.500 0.500 0.302
Mg1 Mg 0.500 0.500 0.761
```

Entry from Alexandria via LeMat-Bulk: a relaxed TcSn2Mo crystal (GGA-PBEsol).

Cell and atoms, written as CIF:
```
data_TcSn2Mo
_chemical_formula_sum 'Tc4 Sn8 Mo4'
_space_group_name_H-M_alt 'F m -3 m'
_space_group_IT_number 225
_space_group_name_Hall '-F 4 2 3'
_cell_length_a 6.501
_cell_length_b 6.501
_cell_length_c 6.501
_cell_angle_alpha 90.00
_cell_angle_beta 90.00
_cell_angle_gamma 90.00
loop_
_atom_site_label
_atom_site_type_symbol
_atom_site_fract_x
_atom_site_fract_y
_atom_site_fract_z
Tc1 Tc 0.000 0.000 0.000
Sn1 Sn 0.250 0.250 0.250
Mo1 Mo 0.000 0.000 0.500
```

# Cs2GeTe3O12 (GGA-PBEsol, optimized geometry)
# - ΔE_f (raw): -1.33 eV per atom
data_Cs2GeTe3O12
_chemical_formula_sum 'Cs6 Ge3 Te9 O36'
_space_group_name_H-M_alt 'R -3 m'
_space_group_IT_number 166
_space_group_name_Hall '-R 3 2"'
_cell_length_a 7.2211
_cell_length_b 7.2211
_cell_length_c 17.0600
_cell_angle_alpha 90.00
_cell_angle_beta 90.00
_cell_angle_gamma 120.00
loop_
_atom_site_label
_atom_site_type_symbol
_atom_site_fract_x
_atom_site_fract_y
_atom_site_fract_z
Cs1 Cs 0.0000 0.0000 0.1294
Ge1 Ge 0.0000 0.0000 0.5000
Te1 Te 0.0000 0.5000 0.0000
O1 O 0.0709 0.5355 0.3615
O2 O 0.0765 0.5383 0.1074

# Mg2NCl (GGA-PBEsol, optimized geometry)
# - ΔE_f (raw): -1.10 eV per atom
data_Mg2NCl
_chemical_formula_sum 'Mg8 N4 Cl4'
_space_group_name_H-M_alt 'I -4 2 d'
_space_group_IT_number 122
_space_group_name_Hall 'I -4 2bw'
_cell_length_a 5.399
_cell_length_b 5.399
_cell_length_c 9.673
_cell_angle_alpha 90.00
_cell_angle_beta 90.00
_cell_angle_gamma 90.00
loop_
_atom_site_label
_atom_site_type_symbol
_atom_site_fract_x
_atom_site_fract_y
_atom_site_fract_z
Mg1 Mg 0.151 0.750 0.125
N1 N 0.000 0.000 0.000
Cl1 Cl 0.000 0.000 0.500

# Pr3AlCoS7 (GGA-PBEsol, optimized geometry)
# - ΔE_f (raw): -1.59 eV per atom
data_Pr3AlCoS7
_chemical_formula_sum 'Pr6 Al2 Co2 S14'
_space_group_name_H-M_alt 'P 63'
_space_group_IT_number 173
_space_group_name_Hall 'P 6c'
_cell_length_a 9.7402
_cell_length_b 9.7402
_cell_length_c 6.1355
_cell_angle_alpha 90.00
_cell_angle_beta 90.00
_cell_angle_gamma 120.00
loop_
_atom_site_label
_atom_site_type_symbol
_atom_site_fract_x
_atom_site_fract_y
_atom_site_fract_z
Pr1 Pr 0.1602 0.7860 0.0000
Al1 Al 0.3333 0.6667 0.5773
Co1 Co 0.0000 0.0000 0.1653
S1 S 0.0881 0.5244 0.7164
S2 S 0.0930 0.8778 0.4129
S3 S 0.3333 0.6667 0.2167

# CsPaO3 (GGA-PBEsol, optimized geometry)
# - ΔE_f (raw): -3.09 eV per atom
data_CsPaO3
_chemical_formula_sum 'Cs1 Pa1 O3'
_space_group_name_H-M_alt 'P m -3 m'
_space_group_IT_number 221
_space_group_name_Hall '-P 4 2 3'
_cell_length_a 4.405
_cell_length_b 4.405
_cell_length_c 4.405
_cell_angle_alpha 90.00
_cell_angle_beta 90.00
_cell_angle_gamma 90.00
loop_
_atom_site_label
_atom_site_type_symbol
_atom_site_fract_x
_atom_site_fract_y
_atom_site_fract_z
Cs1 Cs 0.000 0.000 0.000
Pa1 Pa 0.500 0.500 0.500
O1 O 0.000 0.500 0.500

# HgAs2PtSe (GGA-PBEsol, optimized geometry)
# - ΔE_f (raw): 0.53 eV per atom
data_HgAs2PtSe
_chemical_formula_sum 'Hg1 As2 Pt1 Se1'
_space_group_name_H-M_alt 'P 4/m m m'
_space_group_IT_number 123
_space_group_name_Hall '-P 4 2'
_cell_length_a 4.790
_cell_length_b 4.790
_cell_length_c 5.183
_cell_angle_alpha 90.00
_cell_angle_beta 90.00
_cell_angle_gamma 90.00
loop_
_atom_site_label
_atom_site_type_symbol
_atom_site_fract_x
_atom_site_fract_y
_atom_site_fract_z
Hg1 Hg 0.000 0.000 0.000
As1 As 0.000 0.500 0.500
Pt1 Pt 0.500 0.500 0.500
Se1 Se 0.500 0.500 0.000

# BeOsSe (GGA-PBEsol, optimized geometry)
# - ΔE_f (raw): 0.30 eV per atom
# - Distance to the lowest polymorph of the same formula: 0.0000 eV per atom
data_BeOsSe
_chemical_formula_sum 'Be1 Os1 Se1'
_space_group_name_H-M_alt 'P 3 m 1'
_space_group_IT_number 156
_space_group_name_Hall 'P 3 -2"'
_cell_length_a 2.9406
_cell_length_b 2.9406
_cell_length_c 5.4504
_cell_angle_alpha 90.00
_cell_angle_beta 90.00
_cell_angle_gamma 120.00
loop_
_atom_site_label
_atom_site_type_symbol
_atom_site_fract_x
_atom_site_fract_y
_atom_site_fract_z
Be1 Be 0.0000 0.0000 0.0000
Os1 Os 0.3333 0.6667 0.6919
Se1 Se 0.6667 0.3333 0.3506

# KPbI3 (GGA-PBEsol, optimized geometry)
# - ΔE_f (raw): -0.19 eV per atom
data_KPbI3
_chemical_formula_sum 'K1 Pb1 I3'
_space_group_name_H-M_alt 'P m -3 m'
_space_group_IT_number 221
_space_group_name_Hall '-P 4 2 3'
_cell_length_a 6.081
_cell_length_b 6.081
_cell_length_c 6.081
_cell_angle_alpha 90.00
_cell_angle_beta 90.00
_cell_angle_gamma 90.00
loop_
_atom_site_label
_atom_site_type_symbol
_atom_site_fract_x
_atom_site_fract_y
_atom_site_fract_z
K1 K 0.000 0.000 0.000
Pb1 Pb 0.500 0.500 0.500
I1 I 0.000 0.000 0.500

Entry from Alexandria via LeMat-Bulk: a relaxed V2CrFe crystal (GGA-PBEsol).

Cell and atoms, written as CIF:
```
data_V2CrFe
_chemical_formula_sum 'V8 Cr4 Fe4'
_space_group_name_H-M_alt 'F m -3 m'
_space_group_IT_number 225
_space_group_name_Hall '-F 4 2 3'
_cell_length_a 5.685
_cell_length_b 5.685
_cell_length_c 5.685
_cell_angle_alpha 90.00
_cell_angle_beta 90.00
_cell_angle_gamma 90.00
loop_
_atom_site_label
_atom_site_type_symbol
_atom_site_fract_x
_atom_site_fract_y
_atom_site_fract_z
V1 V 0.250 0.250 0.250
Cr1 Cr 0.000 0.000 0.000
Fe1 Fe 0.000 0.000 0.500
```

Respective E_tot values: -8.107; -9.889; -3.619; -7.602; -5.800; -4.595; -6.433; -8.477; -3.784; -6.393; -2.274; -9.807 eV per atom.